VASP calculation (PBE) on a relaxed structure of Zr4OsRu.

Values from the calculation:
DOS at the Fermi energy   1.951 states/eV/atom
Energy of formation   0.68 eV/atom

Cell and atoms, written as CIF:
```
data_Zr4OsRu
_symmetry_space_group_name_H-M 'F -4 3 m'
_symmetry_Int_Tables_number 216
_symmetry_space_group_name_Hall 'F -4 2 3'
_cell_length_a 7.7852
_cell_length_b 7.7852
_cell_length_c 7.7852
_cell_angle_alpha 90.00
_cell_angle_beta 90.00
_cell_angle_gamma 90.00
loop_
_atom_site_label
_atom_site_type_symbol
_atom_site_fract_x
_atom_site_fract_y
_atom_site_fract_z
_atom_site_occupancy
Zr1 Zr 0.1247 0.1247 0.1247 1
Os1 Os 0.2500 0.2500 0.7500 1
Ru1 Ru 0.0000 0.0000 0.5000 1
```